(1)
## MgTl2Co2 (PBE)

Data for a relaxed structure of MgTl2Co2. Values from VASP.

Structure (Quantum ESPRESSO input):
```
&SYSTEM
  ibrav = 0, nat = 10, ntyp = 3
/
ATOMIC_SPECIES
Mg 24.30 Mg.upf
Co 58.93 Co.upf
Tl 204.38 Tl.upf
ATOMIC_POSITIONS angstrom
Mg 3.4046 3.4046 0.0000
Mg 0.0000 0.0000 0.0000
Co 2.5466 5.9512 0.0000
Co 0.8580 2.5466 0.0000
Co 4.2626 0.8580 0.0000
Co 5.9512 4.2626 0.0000
Tl 2.2382 1.1664 1.8945
Tl 5.6428 2.2382 1.8945
Tl 4.5710 5.6428 1.8945
Tl 1.1664 4.5710 1.8945
CELL_PARAMETERS angstrom
6.8092 0.0000 0.0000
0.0000 6.8092 0.0000
0.0000 0.0000 3.7890
```

As for the crystal system: tetragonal. As for the formation enthalpy at 0 K: 1.7 eV per formula unit. The calculation puts the calculated density at 10.42 g/cm³.



(2)
## Sr2YCl (PBE)

Data for a relaxed structure of Sr2YCl. Values from VASP.

Structure (Quantum ESPRESSO input):
```
&SYSTEM
  ibrav = 0, nat = 4, ntyp = 3
/
ATOMIC_SPECIES
Cl 35.45 Cl.upf
Sr 87.62 Sr.upf
Y 88.91 Y.upf
ATOMIC_POSITIONS angstrom
Cl -6.6880 3.6703 3.8337
Sr -5.1988 1.1095 3.1132
Sr -7.5522 3.1228 6.7055
Y -2.4377 2.2595 0.5608
CELL_PARAMETERS angstrom
-0.6250 3.1082 -2.1514
-3.4559 -1.5900 -1.2932
-5.0448 4.4116 7.8391
```

For the formation energy without anion corrections, the calculation gives -0.712 eV per atom. The value obtained for the energy above the most stable polymorph in this dataset is 32 meV/atom. As for the crystal system: monoclinic. The calculation puts the calculated density at 3.13 g/cm³.



(3)
## SrTe2SeN (PBE)

Data for a relaxed structure of SrTe2SeN. Values from VASP.

Structure (Quantum ESPRESSO input):
```
&SYSTEM
  ibrav = 0, nat = 5, ntyp = 4
/
ATOMIC_SPECIES
Se 78.96 Se.upf
Te 127.60 Te.upf
N 14.01 N.upf
Sr 87.62 Sr.upf
ATOMIC_POSITIONS angstrom
Se 3.1133 3.1133 2.3782
Te 3.1133 0.0000 0.0000
Te 0.0000 3.1133 0.0000
N 0.0000 0.0000 2.3782
Sr 0.0000 0.0000 0.0000
CELL_PARAMETERS angstrom
6.2266 0.0000 0.0000
0.0000 6.2266 0.0000
0.0000 0.0000 4.7565
```

For the formation energy without anion corrections, the calculation gives 1.000 eV per atom. The value obtained for the energy above the most stable polymorph in this dataset is 866 meV/atom. As for the crystal system: tetragonal. The calculation puts the calculated density at 3.92 g/cm³.



(4)
## Rb2Pu2I7 (PBE)

Data for a relaxed structure of Rb2Pu2I7. Values from VASP.

Structure (Quantum ESPRESSO input):
```
&SYSTEM
  ibrav = 0, nat = 11, ntyp = 3
/
ATOMIC_SPECIES
Pu 244.00 Pu.upf
I 126.90 I.upf
Rb 85.47 Rb.upf
ATOMIC_POSITIONS angstrom
Pu -9.7904 -1.5874 -2.6703
Pu -3.1970 -0.3562 4.7761
I -6.2962 -1.0370 5.5845
I -8.0125 -2.3983 -0.0702
I -10.4561 0.6846 -0.4082
I -2.5313 -2.6282 2.5140
I -6.6912 -0.9065 -3.4788
I 0.0000 0.0000 0.0000
I -4.9748 0.4548 2.1760
Rb -4.4896 -1.8187 -0.5816
Rb -8.4977 -0.1248 2.6873
CELL_PARAMETERS angstrom
-5.0536 6.0096 -0.7991
-5.4575 -5.1259 -4.0354
-2.4763 -2.8272 6.9403
```

For the formation energy without anion corrections, the calculation gives -1.198 eV per atom. As for the crystal system: orthorhombic. The calculation puts the calculated density at 4.91 g/cm³.



(5)
## PmSm5Ga4 (PBE)

Data for a relaxed structure of PmSm5Ga4. Values from VASP.

Structure (Quantum ESPRESSO input):
```
&SYSTEM
  ibrav = 0, nat = 10, ntyp = 3
/
ATOMIC_SPECIES
Ga 69.72 Ga.upf
Sm 150.36 Sm.upf
Pm 145.00 Pm.upf
ATOMIC_POSITIONS angstrom
Ga 0.0000 0.0000 15.6858
Ga 0.0000 0.0000 4.4876
Ga 0.0000 0.0000 8.2297
Ga 0.0000 0.0000 11.9437
Sm 1.8098 1.8098 13.8002
Sm 1.8098 1.8098 2.6810
Sm 1.8098 1.8098 10.0867
Sm 1.8098 1.8098 17.4924
Sm 1.8098 1.8098 6.3732
Pm 0.0000 0.0000 0.0000
CELL_PARAMETERS angstrom
3.6195 0.0000 0.0000
0.0000 3.6195 0.0000
0.0000 0.0000 20.1734
```

The value obtained for the energy above the most stable polymorph in this dataset is 0 meV/atom. As for the crystal system: tetragonal. As for the formation enthalpy at 0 K: -4.4 eV per formula unit. The calculation puts the calculated density at 7.39 g/cm³.



(6)
## LaS8Cl2 (PBE)

Data for a relaxed structure of LaS8Cl2. Values from VASP.

Structure (Quantum ESPRESSO input):
```
&SYSTEM
  ibrav = 0, nat = 11, ntyp = 3
/
ATOMIC_SPECIES
S 32.06 S.upf
La 138.91 La.upf
Cl 35.45 Cl.upf
ATOMIC_POSITIONS angstrom
S -8.8886 4.2280 6.5086
S 5.9631 0.7813 1.2942
S 0.2997 1.9503 2.3234
S 10.3894 -2.0389 -1.3900
S 4.7341 -0.9621 3.8894
S -3.2333 3.1511 1.2292
S -4.4623 1.4078 3.8245
S 1.2011 0.2387 2.7952
La 0.0000 0.0000 0.0000
Cl 7.3774 0.2864 -1.6610
Cl -5.8766 1.9027 6.7796
CELL_PARAMETERS angstrom
15.1607 -3.9141 -3.2928
-5.5320 5.3212 0.7486
-8.1279 0.7820 7.6629
```

For the formation energy without anion corrections, the calculation gives -0.538 eV per atom. As for the crystal system: triclinic. The calculation puts the calculated density at 2.28 g/cm³.



Looking at electronic total energy for the records above, in order, we have -37.8; -14.5; -14.8; -54.6; -44.9; -47.6 eV/cell.